VASP calculation (PBE+U) on an optimized crystal structure of FeSb2O6.

Geometry as POSCAR:
```
FeSb2O6
1.0
5.2676 0.0000 0.0000
-2.6338 4.5618 0.0000
0.0000 0.0000 4.5906
Fe Sb O
1 2 6
Direct
0.0000 0.0000 0.0000
0.3333 0.6667 0.5000
0.6667 0.3333 0.5000
0.0000 0.3500 0.7362
0.0000 0.6500 0.2638
0.3500 0.0000 0.7362
0.3500 0.3500 0.2638
0.6500 0.0000 0.2638
0.6500 0.6500 0.7362
```

N(E_F) (states/eV/cell): 5.4
Symmetry: P-31m (162)
Uncorrected energy (eV/atom): -6.15
Mass density (Mg/m³): 5.951
Relative energy among the computed polymorphs (meV/atom): 155